# 1
CsTl2Hg6 | PBE | optimized geometry

As for the energy above the most stable polymorph in this dataset: 30 meV per atom. The value obtained for the calculated formation energy is -0.058 eV per atom. The calculation puts the total energy at -7.9 eV/cell.

It has space group P6/mmm (No. 191), with a = 9.6449 Å, b = 9.6449 Å, c = 3.5017 Å, α = 90.00°, β = 90.00° and γ = 120.00°. The distinct sites, in fractional coordinates, are Cs at (0.0000, 0.0000, 0.0000), Tl at (0.3333, 0.6667, 0.0000) and Hg at (0.0000, 0.3428, 0.5000).

# 2
Cs2Tl2Hg5 | PBE | optimized geometry

The value obtained for the calculated formation energy is -0.135 eV per atom. The calculation puts the total energy at -9.2 eV/cell.

It has space group P4/mmm (No. 123), with a = 5.8521 Å, b = 5.8521 Å, c = 10.1714 Å, α = 90.00°, β = 90.00° and γ = 90.00°. The distinct sites, in fractional coordinates, are Cs at (0.0000, 0.0000, 0.0000), Cs at (0.0000, 0.0000, 0.5000), Tl at (0.5000, 0.5000, 0.1585), Hg at (0.0000, 0.5000, 0.2599) and Hg at (0.5000, 0.5000, 0.5000).

# 3
Cs3Tl2Hg3 | PBE | optimized geometry

The value obtained for the calculated formation energy is -0.176 eV per atom. The calculation puts the total energy at -38.4 eV/cell.

It has space group Pnma (No. 62), with a = 10.2175 Å, b = 18.0935 Å, c = 7.7762 Å, α = 90.00°, β = 90.00° and γ = 90.00°. The distinct sites, in fractional coordinates, are Cs at (0.0340, 0.1058, 0.1235), Cs at (0.1946, 0.2500, 0.6081), Tl at (0.1059, 0.5923, 0.3954), Hg at (0.1612, 0.7500, 0.5857) and Hg at (0.1833, 0.0372, 0.6383).

# 4
Cs3Tl5Hg6 | PBE | optimized geometry

The value obtained for the calculated formation energy is -0.133 eV per atom. The calculation puts the total energy at -36.1 eV/cell.

It has space group Pmmn (No. 59, origin choice 2), with a = 5.4895 Å, b = 17.5218 Å, c = 10.9537 Å, α = 90.00°, β = 90.00° and γ = 90.00°. The distinct sites, in fractional coordinates, are Cs at (0.2500, 0.0376, 0.1973), Cs at (0.2500, 0.7500, 0.3379), Tl at (0.2500, 0.0847, 0.5606), Tl at (0.2500, 0.6529, 0.0005), Tl at (0.2500, 0.7500, 0.7385), Hg at (0.2500, 0.1285, 0.8502), Hg at (0.2500, 0.2500, 0.0729), Hg at (0.2500, 0.2500, 0.3981) and Hg at (0.2500, 0.5931, 0.5775).

# 5
Cs2Tl3Hg9 | PBE | optimized geometry

The value obtained for the calculated formation energy is -0.122 eV per atom. The calculation puts the total energy at -52.9 eV/cell.

It has space group C2/c (No. 15), with a = 17.3458 Å, b = 9.2159 Å, c = 13.8713 Å, α = 90.00°, β = 121.29° and γ = 90.00°. The distinct sites, in fractional coordinates, are Cs at (0.1746, 0.0827, 0.2393), Tl at (0.0804, 0.2395, 0.4950), Tl at (0.2500, 0.2500, 0.0000), Hg at (0.0000, 0.3720, 0.2500), Hg at (0.0563, 0.0884, 0.9034), Hg at (0.0923, 0.4144, 0.0212), Hg at (0.0949, 0.3370, 0.7360) and Hg at (0.2220, 0.4110, 0.4344).

# 6
Cs3Tl2Hg | PBE | optimized geometry

The value obtained for the calculated formation energy is -0.095 eV per atom. The calculation puts the total energy at -32.7 eV/cell.

It has space group P2_1/c (No. 14), with a = 10.6306 Å, b = 8.2986 Å, c = 13.9639 Å, α = 90.00°, β = 90.24° and γ = 90.00°. The distinct sites, in fractional coordinates, are Cs at (0.1256, 0.0570, 0.1395), Cs at (0.2506, 0.7485, 0.8669), Cs at (0.3729, 0.0574, 0.6395), Tl at (0.0160, 0.6013, 0.0892), Tl at (0.4850, 0.6021, 0.5890) and Hg at (0.2484, 0.2478, 0.8965).